No. 1
First-principles (PBE-GGA) data for crystalline KLu2Co at its relaxed geometry, as listed in Alexandria.

The calculation puts the energy of formation from the pure elements at 0.07 eV/atom. For the density of states at the Fermi level, the calculation gives 3.213 states/eV per cell. The symmetry is R-3m, No. 166. The value obtained for the volume is 136.2 Å³/cell. The calculation puts the total moment at 0.0 μB per cell. The calculation puts the total energy at -4.244 eV/atom.

Unit cell a=10.860 b=10.860 c=10.860 alpha=20.40 beta=20.40 gamma=20.40
Positions (direct):
K 0.000 0.000 0.000
Lu 0.124 0.124 0.124
Lu 0.876 0.876 0.876
Co 0.500 0.500 0.500

=====

No. 2
First-principles (PBE-GGA) data for crystalline InGa9Ag3 at its relaxed geometry, as listed in Alexandria.

The calculation puts the energy of formation from the pure elements at 0.05 eV/atom. For the density of states at the Fermi level, the calculation gives 3.778 states/eV per cell. The symmetry is C2/m, No. 12. The value obtained for the volume is 257.3 Å³/cell. The calculation puts the total moment at 0.0 μB per cell. The calculation puts the total energy at -2.910 eV/atom.

Unit cell a=7.866 b=7.866 c=6.938 alpha=97.68 beta=97.68 gamma=139.48
Positions (direct):
In 0.000 0.000 0.000
Ga 0.000 0.000 0.500
Ga 0.005 0.649 0.643
Ga 0.286 0.503 0.786
Ga 0.351 0.995 0.357
Ga 0.497 0.714 0.214
Ga 0.503 0.286 0.786
Ga 0.649 0.005 0.643
Ga 0.714 0.497 0.214
Ga 0.995 0.351 0.357
Ag 0.000 0.500 0.000
Ag 0.500 0.000 0.000
Ag 0.500 0.500 0.500

=====

No. 3
First-principles (PBE-GGA) data for crystalline SbS2Br at its relaxed geometry, as listed in Alexandria.

For the density of states at the Fermi level, the calculation gives 7.124 states/eV per cell. Its energy above the lowest structure with this stoichiometry is 212.5 meV/atom. The energy relative to the elements, uncorrected comes out at 193 meV per atom. The symmetry is P6_222, No. 180. The value obtained for the volume is 307.2 Å³/cell. The calculation puts the total moment at 0.0 μB per cell. The calculation puts the total energy at -3.320 eV/atom.

Unit cell a=6.290 b=6.290 c=8.968 alpha=90.00 beta=90.00 gamma=120.00
Positions (direct):
Sb 0.000 0.500 0.167
Sb 0.500 0.000 0.500
Sb 0.500 0.500 0.833
S 0.135 0.269 0.000
S 0.135 0.865 0.333
S 0.269 0.135 0.667
S 0.731 0.865 0.667
S 0.865 0.135 0.333
S 0.865 0.731 0.000
Br 0.000 0.500 0.667
Br 0.500 0.000 0.000
Br 0.500 0.500 0.333

=====

No. 4
First-principles (PBE-GGA) data for crystalline Ac4IrCl5 at its relaxed geometry, as listed in Alexandria.

For the density of states at the Fermi level, the calculation gives 2.376 states/eV per cell. Its energy above the lowest structure with this stoichiometry is 0.0 meV/atom. The energy relative to the elements, uncorrected comes out at -1768 meV per atom. The symmetry is Immm, No. 71. The value obtained for the volume is 341.0 Å³/cell. The calculation puts the total moment at 0.0 μB per cell. The calculation puts the total energy at -5.221 eV/atom.

Unit cell a=10.170 b=10.170 c=10.170 alpha=155.15 beta=129.14 gamma=57.41
Positions (direct):
Ac 0.170 0.170 0.000
Ac 0.224 0.500 0.724
Ac 0.776 0.500 0.276
Ac 0.830 0.830 0.000
Ir 0.000 0.000 0.000
Cl 0.075 0.325 0.750
Cl 0.425 0.675 0.750
Cl 0.500 0.000 0.500
Cl 0.575 0.325 0.250
Cl 0.925 0.675 0.250

=====

No. 5
First-principles (PBE-GGA) data for crystalline Li2PrCdPd at its relaxed geometry, as listed in Alexandria.

The calculation puts the energy of formation from the pure elements at -0.36 eV/atom. For the density of states at the Fermi level, the calculation gives 2.957 states/eV per cell. The symmetry is Imm2, No. 44. The value obtained for the volume is 108.6 Å³/cell. The calculation puts the total moment at 0.0 μB per cell. The calculation puts the total energy at -3.299 eV/atom.

Unit cell a=7.119 b=7.119 c=7.119 alpha=147.14 beta=146.18 gamma=47.88
Positions (direct):
Li 0.000 0.000 0.000
Li 0.655 0.155 0.500
Pr 0.281 0.781 0.500
Cd 0.509 0.509 0.000
Pd 0.855 0.355 0.500

=====

No. 6
First-principles (PBE-GGA) data for crystalline Li2ZrCr at its relaxed geometry, as listed in Alexandria.

The calculation puts the energy of formation from the pure elements at 0.37 eV/atom. For the density of states at the Fermi level, the calculation gives 3.647 states/eV per cell. Its energy above the lowest structure with this stoichiometry is 61.4 meV/atom. The symmetry is Cmm2, No. 35. The value obtained for the volume is 72.2 Å³/cell. The calculation puts the total moment at 0.3 μB per cell. The calculation puts the total energy at -5.126 eV/atom.

Unit cell a=2.870 b=2.870 c=9.312 alpha=90.00 beta=90.00 gamma=109.78
Positions (direct):
Li 0.000 0.000 0.000
Li 0.500 0.500 0.269
Zr 0.000 0.000 0.562
Cr 0.500 0.500 0.772

=====

No. 7
First-principles (PBE-GGA) data for crystalline B3PRu at its relaxed geometry, as listed in Alexandria.

The calculation puts the energy of formation from the pure elements at 1.63 eV/atom. For the density of states at the Fermi level, the calculation gives 4.742 states/eV per cell. Its energy above the lowest structure with this stoichiometry is 128.2 meV/atom. The symmetry is Pm-3m, No. 221. The value obtained for the volume is 54.8 Å³/cell. The calculation puts the total moment at 0.0 μB per cell. The calculation puts the total energy at -5.316 eV/atom.

Unit cell a=3.799 b=3.799 c=3.799 alpha=90.00 beta=90.00 gamma=90.00
Positions (direct):
B 0.000 0.000 0.500
B 0.000 0.500 0.000
B 0.500 0.000 0.000
P 0.000 0.000 0.000
Ru 0.500 0.500 0.500

=====

No. 8
First-principles (PBE-GGA) data for crystalline Lu3Nb at its relaxed geometry, as listed in Alexandria.

The calculation puts the energy of formation from the pure elements at 0.18 eV/atom. For the density of states at the Fermi level, the calculation gives 4.763 states/eV per cell. Its energy above the lowest structure with this stoichiometry is 12.2 meV/atom. The symmetry is Imm2, No. 44. The value obtained for the volume is 102.2 Å³/cell. The calculation puts the total moment at 0.0 μB per cell. The calculation puts the total energy at -5.724 eV/atom.

Unit cell a=6.240 b=6.240 c=6.240 alpha=148.98 beta=65.06 gamma=124.37
Positions (direct):
Lu 0.000 0.000 0.000
Lu 0.118 0.356 0.763
Lu 0.593 0.356 0.237
Nb 0.527 0.027 0.500

=====

No. 9
First-principles (PBE-GGA) data for crystalline KY2Sb2 at its relaxed geometry, as listed in Alexandria.

For the density of states at the Fermi level, the calculation gives 0.202 states/eV per cell. Its energy above the lowest structure with this stoichiometry is 137.7 meV/atom. The energy relative to the elements, uncorrected comes out at -553 meV per atom. The symmetry is I4/mmm, No. 139. The value obtained for the volume is 194.2 Å³/cell. The calculation puts the total moment at 1.0 μB per cell. The calculation puts the total energy at -5.007 eV/atom.

Unit cell a=7.037 b=7.037 c=7.037 alpha=130.99 beta=130.99 gamma=71.82
Positions (direct):
K 0.000 0.000 0.000
Y 0.323 0.323 0.000
Y 0.677 0.677 0.000
Sb 0.250 0.750 0.500
Sb 0.750 0.250 0.500

=====

No. 10
First-principles (PBE-GGA) data for crystalline SrV2IrS8 at its relaxed geometry, as listed in Alexandria.

For the density of states at the Fermi level, the calculation gives 8.984 states/eV per cell. The energy relative to the elements, uncorrected comes out at -664 meV per atom. The symmetry is R-3, No. 148. The value obtained for the volume is 257.2 Å³/cell. The calculation puts the total moment at 0.0 μB per cell. The calculation puts the total energy at -5.814 eV/atom.

Unit cell a=8.875 b=8.875 c=8.875 alpha=39.73 beta=39.73 gamma=39.73
Positions (direct):
Sr 0.000 0.000 0.000
V 0.246 0.246 0.246
V 0.754 0.754 0.754
Ir 0.500 0.500 0.500
S 0.131 0.431 0.769
S 0.231 0.869 0.569
S 0.332 0.332 0.332
S 0.431 0.769 0.131
S 0.569 0.231 0.869
S 0.668 0.668 0.668
S 0.769 0.131 0.431
S 0.869 0.569 0.231

=====

No. 11
First-principles (PBE-GGA) data for crystalline MnNi7As2P2 at its relaxed geometry, as listed in Alexandria.

The calculation puts the energy of formation from the pure elements at -0.23 eV/atom. For the density of states at the Fermi level, the calculation gives 6.264 states/eV per cell. The symmetry is C2/m, No. 12. The value obtained for the volume is 166.0 Å³/cell. The calculation puts the total moment at 3.8 μB per cell. The calculation puts the total energy at -6.048 eV/atom.

Unit cell a=3.485 b=3.485 c=13.883 alpha=97.16 beta=97.16 gamma=90.00
Positions (direct):
Mn 0.000 0.000 0.000
Ni 0.068 0.568 0.137
Ni 0.302 0.302 0.604
Ni 0.432 0.932 0.863
Ni 0.500 0.500 0.000
Ni 0.568 0.068 0.137
Ni 0.698 0.698 0.396
Ni 0.932 0.432 0.863
As 0.213 0.213 0.428
As 0.787 0.787 0.572
P 0.383 0.383 0.764
P 0.617 0.617 0.236